No. 1
LiCu2Ni | PBE | relaxed

**ΔH_f (0 K)**: -0.0056 eV/atom
**Distance to the lowest polymorph of the same formula**: 0.040 eV per atom
**Density**: 6.880 g cm⁻³
**DOS at the Fermi energy**: 0.3542 states/eV/atom

Unit cell a=4.037 b=4.037 c=4.037 alpha=60.00 beta=60.00 gamma=60.00
Sites, in units of the cell vectors:
1 Cu 0.750 0.750 0.750
2 Cu 0.250 0.250 0.250
3 Ni 0.500 0.500 0.500
4 Li 0.000 0.000 0.000

No. 2
TbZrNiRh | PBE | relaxed

**ΔH_f (0 K)**: -0.5169 eV/atom
**Density**: 9.137 g cm⁻³
**DOS at the Fermi energy**: 1.3796 states/eV/atom

Unit cell a=4.730 b=4.730 c=4.730 alpha=60.00 beta=60.00 gamma=60.00
Sites, in units of the cell vectors:
1 Rh 0.250 0.250 0.250
2 Zr 0.000 0.000 0.000
3 Ni 0.750 0.750 0.750
4 Tb 0.500 0.500 0.500

No. 3
Ag3BiS | PBE | relaxed

**Energy relative to the elements, uncorrected**: 0.308 eV per atom
**Distance to the lowest polymorph of the same formula**: 0.000 eV per atom
**Density**: 7.881 g cm⁻³
**DOS at the Fermi energy**: 0.7627 states/eV/atom

Unit cell a=4.918 b=4.918 c=4.918 alpha=90.00 beta=90.00 gamma=90.00
Sites, in units of the cell vectors:
1 Bi 0.500 0.500 0.500
2 Ag 0.000 0.000 0.500
3 Ag 0.000 0.500 0.000
4 Ag 0.500 0.000 0.000
5 S 0.000 0.000 0.000

No. 4
K3NpPa2As6 | PBE | relaxed

**ΔH_f (0 K)**: -0.6952 eV/atom
**Density**: 5.794 g cm⁻³
**DOS at the Fermi energy**: 0.7551 states/eV/atom

Unit cell a=7.417 b=7.417 c=8.006 alpha=98.88 beta=98.88 gamma=120.00
Sites, in units of the cell vectors:
1 As 0.731 0.731 0.187
2 As 0.062 0.394 0.187
3 As 0.606 0.938 0.813
4 As 0.938 0.606 0.813
5 As 0.269 0.269 0.813
6 As 0.394 0.062 0.187
7 Pa 0.667 0.333 0.000
8 Pa 0.333 0.667 0.000
9 K 0.500 0.500 0.500
10 K 0.167 0.833 0.500
11 K 0.833 0.167 0.500
12 Np 0.000 0.000 0.000

No. 5
Ac3IrI | PBE | relaxed

**Energy relative to the elements, uncorrected**: -0.657 eV per atom
**Distance to the lowest polymorph of the same formula**: 0.000 eV per atom
**Density**: 8.405 g cm⁻³
**DOS at the Fermi energy**: 0.8999 states/eV/atom

Unit cell a=4.192 b=10.297 c=9.156 alpha=90.00 beta=90.00 gamma=90.00
Sites, in units of the cell vectors:
1 Ir 0.250 0.750 0.012
2 Ir 0.750 0.250 0.988
3 Ac 0.250 0.077 0.158
4 Ac 0.750 0.923 0.842
5 Ac 0.250 0.250 0.766
6 Ac 0.750 0.750 0.234
7 Ac 0.250 0.423 0.158
8 Ac 0.750 0.577 0.842
9 I 0.250 0.750 0.564
10 I 0.750 0.250 0.436

No. 6
SmSeI | PBE | relaxed

**Energy relative to the elements, uncorrected**: -1.691 eV per atom
**Density**: 4.478 g cm⁻³
**DOS at the Fermi energy**: 0.0000 states/eV/atom

Unit cell a=4.356 b=5.751 c=10.624 alpha=90.00 beta=96.93 gamma=90.00
Sites, in units of the cell vectors:
1 Se 0.729 0.250 0.929
2 Se 0.271 0.750 0.071
3 Sm 0.284 0.250 0.115
4 Sm 0.716 0.750 0.885
5 I 0.846 0.250 0.326
6 I 0.154 0.750 0.674